# AlZnCuAu2 PBE-GGA optimized geometry
data_AlZnCuAu2
_chemical_formula_sum 'Al2 Zn2 Cu2 Au4'
_symmetry_space_group_name_H-M 'P 1'
_symmetry_Int_Tables_number 1
_cell_length_a 3.9039
_cell_length_b 6.3830
_cell_length_c 6.3225
_cell_angle_alpha 91.23
_cell_angle_beta 90.00
_cell_angle_gamma 90.00
loop_
_symmetry_equiv_pos_as_xyz
'x,y,z'
loop_
_atom_site_label
_atom_site_fract_x
_atom_site_fract_y
_atom_site_fract_z
Al1 0.2500 0.9400 0.8269
Al2 0.7500 0.0600 0.1731
Zn1 0.2500 0.6818 0.2628
Zn2 0.7500 0.3182 0.7372
Cu1 0.2500 0.5653 0.6565
Cu2 0.7500 0.4347 0.3435
Au1 0.7500 0.8340 0.5224
Au2 0.7500 0.6966 0.9698
Au3 0.2500 0.1660 0.4776
Au4 0.2500 0.3034 0.0302
# Calculated formation energy = -0.24 eV per atom
# Energy above the lowest structure with this stoichiometry = 0 meV/atom